# Zr4AlPt | Alexandria via LeMat-Bulk | PBE | relaxed
# ΔE_f   -422 meV per atom
# Symmetry   C2/c
# Distance to the lowest polymorph of the same formula   126 meV/atom
# DOS(E_F)   14.966 states/eV/cell
data_Zr4AlPt
_symmetry_space_group_name_H-M 'P 1'
_symmetry_Int_Tables_number 1
_symmetry_space_group_name_Hall 'P 1'
_cell_length_a 7.457
_cell_length_b 7.457
_cell_length_c 5.372
_cell_angle_alpha 100.36
_cell_angle_beta 100.36
_cell_angle_gamma 115.17
loop_
_atom_site_label
_atom_site_fract_x
_atom_site_fract_y
_atom_site_fract_z
_atom_site_occupancy
Zr1 0.080 0.699 0.929 1
Zr2 0.215 0.382 0.653 1
Zr3 0.301 0.920 0.571 1
Zr4 0.382 0.215 0.153 1
Zr5 0.618 0.785 0.847 1
Zr6 0.699 0.080 0.429 1
Zr7 0.785 0.618 0.347 1
Zr8 0.920 0.301 0.071 1
Al1 0.381 0.619 0.250 1
Al2 0.619 0.381 0.750 1
Pt1 0.007 0.993 0.250 1
Pt2 0.993 0.007 0.750 1